# 1
VNiRh3 | Alexandria via LeMat-Bulk | GGA-PBE | relaxed; spin magnetization = 0.0 μB per formula unit; polymorph energy (0 for the lowest one) = 0.5109 eV per atom; DFT formation energy = 1.4 eV per formula unit
1.0
3.168 -5.481 0.000
3.168 5.481 0.000
0.000 0.000 4.252
V Ni Rh
2 2 6
direct
0.166 0.834 0.750
0.834 0.166 0.250
0.500 0.500 0.000
0.500 0.500 0.500
0.106 0.303 0.750
0.303 0.106 0.250
0.303 0.697 0.250
0.697 0.303 0.750
0.697 0.894 0.750
0.894 0.697 0.250


# 2
KBi2Cl6 | Alexandria via LeMat-Bulk | GGA-PBE | relaxed; spin magnetization = 0.0 μB per formula unit; E_form (uncorrected) = -102 kJ/mol of atoms; polymorph energy (0 for the lowest one) = 0.0240 eV per atom
1.0
6.257 -6.682 0.000
6.257 6.682 0.000
-5.872 0.000 9.472
K Bi Cl
2 4 12
direct
0.054 0.946 0.750
0.946 0.054 0.250
0.302 0.457 0.790
0.457 0.302 0.290
0.543 0.698 0.710
0.698 0.543 0.210
0.064 0.211 0.616
0.129 0.649 0.849
0.211 0.064 0.116
0.348 0.377 0.511
0.351 0.871 0.651
0.377 0.348 0.011
0.623 0.652 0.989
0.649 0.129 0.349
0.652 0.623 0.489
0.789 0.936 0.884
0.871 0.351 0.151
0.936 0.789 0.384


# 3
HfMoRu | Alexandria via LeMat-Bulk | GGA-PBE | relaxed; spin magnetization = 0.0 μB per formula unit; polymorph energy (0 for the lowest one) = 0.2356 eV per atom; DFT formation energy = -0.4 eV per formula unit
1.0
4.648 -2.342 0.000
4.648 2.342 0.000
-2.904 0.000 4.632
Hf Mo Ru
2 2 2
direct
0.000 0.000 0.000
0.694 0.694 0.341
0.037 0.037 0.538
0.345 0.345 0.676
0.360 0.360 0.193
0.663 0.663 0.813


# 4
Cs2AgI6O | Alexandria via LeMat-Bulk | GGA-PBE | relaxed; spin magnetization = 0.0 μB per formula unit; E_form (uncorrected) = -50 kJ/mol of atoms
1.0
-3.908 3.908 6.432
3.908 -3.908 6.432
3.908 3.908 -6.432
Cs Ag I O
2 1 6 1
direct
0.250 0.750 0.500
0.750 0.250 0.500
0.000 0.000 0.000
0.212 0.212 0.000
0.278 0.278 0.557
0.278 0.722 0.000
0.722 0.278 0.000
0.722 0.722 0.443
0.788 0.788 0.000
0.500 0.500 0.000


# 5
Y2Cd2Bi | Alexandria via LeMat-Bulk | GGA-PBE | relaxed; spin magnetization = 0.0 μB per formula unit; polymorph energy (0 for the lowest one) = 0.0000 eV per atom; DFT formation energy = -1.8 eV per formula unit
1.0
7.862 0.000 0.000
0.000 7.862 0.000
0.000 0.000 4.494
Y Cd Bi
4 4 2
direct
0.167 0.333 0.000
0.333 0.833 0.000
0.667 0.167 0.000
0.833 0.667 0.000
0.127 0.627 0.500
0.373 0.127 0.500
0.627 0.873 0.500
0.873 0.373 0.500
0.000 0.000 0.500
0.500 0.500 0.500


# 6
TlZnInAg | Alexandria via LeMat-Bulk | GGA-PBE | relaxed; spin magnetization = 0.0 μB per formula unit; DFT formation energy = 0.5 eV per formula unit
1.0
0.000 3.561 3.561
3.561 0.000 3.561
3.561 3.561 0.000
Tl Zn In Ag
1 1 1 1
direct
0.000 0.000 0.000
0.250 0.250 0.250
0.500 0.500 0.500
0.750 0.750 0.750


# 7
CaMnIr2 | Alexandria via LeMat-Bulk | GGA-PBE | relaxed; spin magnetization = 4.8 μB per formula unit; polymorph energy (0 for the lowest one) = 0.3694 eV per atom; DFT formation energy = 1.0 eV per formula unit
1.0
0.000 3.232 3.232
3.232 0.000 3.232
3.232 3.232 0.000
Ca Mn Ir
1 1 2
direct
0.000 0.000 0.000
0.750 0.750 0.750
0.250 0.250 0.250
0.500 0.500 0.500


# 8
CdMo2As | Alexandria via LeMat-Bulk | GGA-PBE | relaxed; spin magnetization = 0.0 μB per formula unit; polymorph energy (0 for the lowest one) = 0.1585 eV per atom; DFT formation energy = 1.2 eV per formula unit
1.0
1.499 0.865 8.767
-1.499 0.865 8.767
0.000 -1.730 8.767
Cd Mo As
1 2 1
direct
0.000 0.000 0.000
0.241 0.241 0.241
0.759 0.759 0.759
0.500 0.500 0.500


# 9
GdThIr2 | Alexandria via LeMat-Bulk | GGA-PBE | relaxed; spin magnetization = 7.0 μB per formula unit; polymorph energy (0 for the lowest one) = 0.0047 eV per atom; DFT formation energy = -3.0 eV per formula unit
1.0
0.000 3.527 3.527
3.527 0.000 3.527
3.527 3.527 0.000
Gd Th Ir
1 1 2
direct
0.000 0.000 0.000
0.500 0.500 0.500
0.250 0.250 0.250
0.750 0.750 0.750


# 10
RhSeO2 | Alexandria via LeMat-Bulk | GGA-PBE | relaxed; spin magnetization = 0.0 μB per formula unit; E_form (uncorrected) = 15 kJ/mol of atoms
1.0
-2.985 2.985 2.693
2.985 -2.985 2.693
2.985 2.985 -2.693
Rh Se O
2 2 4
direct
0.000 0.000 0.000
0.750 0.250 0.500
0.250 0.750 0.500
0.500 0.500 0.000
0.105 0.625 0.980
0.375 0.355 0.480
0.645 0.125 0.020
0.875 0.895 0.520


# 11
LiZrIO2 | Alexandria via LeMat-Bulk | GGA-PBE | relaxed; spin magnetization = 0.0 μB per formula unit; E_form (uncorrected) = -188 kJ/mol of atoms; polymorph energy (0 for the lowest one) = 0.0000 eV per atom
1.0
4.106 0.000 0.000
0.000 4.106 0.000
0.000 0.000 6.187
Li Zr I O
1 1 1 2
direct
0.000 0.000 0.000
0.500 0.500 0.500
0.500 0.500 0.000
0.000 0.500 0.500
0.500 0.000 0.500


# 12
Cd12Ag5Hg2 | Alexandria via LeMat-Bulk | GGA-PBE | relaxed; spin magnetization = 0.0 μB per formula unit; polymorph energy (0 for the lowest one) = 0.0000 eV per atom; DFT formation energy = 0.2 eV per formula unit
1.0
9.751 -4.597 0.000
9.751 4.597 0.000
-1.027 0.000 4.533
Cd Ag Hg
12 5 2
direct
0.046 0.549 0.796
0.097 0.097 0.106
0.145 0.659 0.401
0.341 0.855 0.599
0.398 0.398 0.898
0.451 0.954 0.204
0.549 0.046 0.796
0.602 0.602 0.102
0.659 0.145 0.401
0.855 0.341 0.599
0.903 0.903 0.894
0.954 0.451 0.204
0.198 0.198 0.703
0.302 0.302 0.304
0.500 0.500 0.500
0.698 0.698 0.696
0.802 0.802 0.297
0.247 0.753 0.000
0.753 0.247 0.000


# 13
Er3Cu3Ni | Alexandria via LeMat-Bulk | GGA-PBE | relaxed; spin magnetization = 0.0 μB per formula unit; DFT formation energy = -2.3 eV per formula unit
1.0
4.951 -1.897 0.000
4.951 1.897 0.000
-3.947 0.000 14.321
Er Cu Ni
6 6 2
direct
0.024 0.024 0.388
0.109 0.109 0.923
0.240 0.240 0.238
0.760 0.760 0.762
0.891 0.891 0.077
0.976 0.976 0.612
0.346 0.346 0.466
0.397 0.397 0.923
0.475 0.475 0.769
0.525 0.525 0.231
0.603 0.603 0.077
0.654 0.654 0.534
0.273 0.273 0.625
0.727 0.727 0.375


# 14
LiHoEr2Rh4 | Alexandria via LeMat-Bulk | GGA-PBE | relaxed; spin magnetization = 0.0 μB per formula unit; DFT formation energy = -6.1 eV per formula unit
1.0
2.339 1.350 7.661
-2.339 1.350 7.661
0.000 -2.700 7.661
Li Ho Er Rh
1 1 2 4
direct
0.000 0.000 0.000
0.500 0.500 0.500
0.258 0.258 0.258
0.742 0.742 0.742
0.124 0.124 0.124
0.377 0.377 0.377
0.623 0.623 0.623
0.876 0.876 0.876


# 15
Er3ZnIn | Alexandria via LeMat-Bulk | GGA-PBE | relaxed; spin magnetization = 0.0 μB per formula unit; polymorph energy (0 for the lowest one) = 0.1363 eV per atom; DFT formation energy = -0.8 eV per formula unit
1.0
7.905 0.000 0.000
-3.952 6.846 0.000
0.000 0.000 5.042
Er Zn In
6 2 2
direct
0.190 0.380 0.250
0.190 0.810 0.250
0.380 0.190 0.750
0.620 0.810 0.250
0.810 0.190 0.750
0.810 0.620 0.750
0.000 0.000 0.000
0.000 0.000 0.500
0.333 0.667 0.750
0.667 0.333 0.250


# 16
Ac3CuGe2Au6 | Alexandria via LeMat-Bulk | GGA-PBE | relaxed; spin magnetization = 0.0 μB per formula unit; DFT formation energy = -6.0 eV per formula unit
1.0
6.583 0.000 0.000
-3.291 5.701 0.000
0.000 0.000 8.128
Ac Cu Ge Au
3 1 2 6
direct
0.000 0.000 0.000
0.333 0.667 0.667
0.667 0.333 0.333
0.000 0.000 0.500
0.333 0.667 0.071
0.667 0.333 0.929
0.178 0.355 0.308
0.178 0.822 0.308
0.355 0.178 0.692
0.645 0.822 0.308
0.822 0.178 0.692
0.822 0.645 0.692


# 17
K3PuSc2S6 | Alexandria via LeMat-Bulk | GGA-PBE | relaxed; spin magnetization = 5.0 μB per formula unit; E_form (uncorrected) = -162 kJ/mol of atoms
1.0
3.414 -5.914 0.000
3.414 5.914 0.000
-2.280 0.000 7.306
K Pu Sc S
3 1 2 6
direct
0.000 0.000 0.000
0.335 0.665 0.000
0.665 0.335 0.000
0.500 0.500 0.500
0.167 0.833 0.500
0.833 0.167 0.500
0.087 0.435 0.305
0.217 0.217 0.695
0.435 0.087 0.305
0.565 0.913 0.695
0.783 0.783 0.305
0.913 0.565 0.695


# 18
La4In2Co | Alexandria via LeMat-Bulk | GGA-PBE | relaxed; spin magnetization = 0.0 μB per formula unit; DFT formation energy = -1.9 eV per formula unit
1.0
-2.602 2.602 8.363
2.602 -2.602 8.363
2.602 2.602 -8.363
La In Co
4 2 1
direct
0.000 0.500 0.500
0.176 0.176 0.000
0.500 0.000 0.500
0.824 0.824 0.000
0.366 0.366 0.000
0.634 0.634 0.000
0.000 0.000 0.000


# 19
LaCu2Hg | Alexandria via LeMat-Bulk | GGA-PBE | relaxed; spin magnetization = 0.0 μB per formula unit; DFT formation energy = -0.7 eV per formula unit
1.0
3.828 -2.212 0.000
3.828 2.212 0.000
-2.566 0.000 5.161
La Cu Hg
1 2 1
direct
0.000 0.000 0.000
0.211 0.211 0.633
0.545 0.545 0.635
0.795 0.795 0.387


# 20
Nb8Si2C3 | Alexandria via LeMat-Bulk | GGA-PBE | relaxed; spin magnetization = 0.0 μB per formula unit; E_form (uncorrected) = -20 kJ/mol of atoms
1.0
6.091 -3.223 0.000
6.091 3.223 0.000
-1.252 0.000 5.371
Nb Si C
8 2 3
direct
0.093 0.093 0.403
0.151 0.649 0.116
0.351 0.849 0.884
0.394 0.394 0.611
0.606 0.606 0.389
0.649 0.151 0.116
0.849 0.351 0.884
0.907 0.907 0.597
0.244 0.244 0.164
0.756 0.756 0.836
0.268 0.732 0.500
0.500 0.500 0.000
0.732 0.268 0.500